# NaReAs2Br

A geometry-optimized NaReAs2Br structure (PBE-GGA, the Alexandria database).

The value obtained for the uncorrected formation energy is 1.65 eV/atom. The calculation puts the energy above the most stable polymorph in this dataset at 8.063 eV/f.u. As for the space group: P4/mmm, No. 123. As for the electronic total energy: -3.2946 eV per atom.

CIF file:
```
data_NaReAs2Br
_chemical_formula_sum 'Na1 Re1 As2 Br1'
_space_group_name_H-M_alt 'P 1'
_space_group_IT_number 1
_cell_length_a 5.090
_cell_length_b 5.090
_cell_length_c 5.019
_cell_angle_alpha 90.00
_cell_angle_beta 90.00
_cell_angle_gamma 90.00
loop_
_space_group_symop_operation_xyz
'x,y,z'
loop_
_atom_site_label
_atom_site_type_symbol
_atom_site_fract_x
_atom_site_fract_y
_atom_site_fract_z
_atom_site_occupancy
Re1 Re 0.500 0.500 0.500 1
As1 As 0.000 0.500 0.000 1
As2 As 0.500 0.000 0.000 1
Br1 Br 0.000 0.000 0.500 1
Na1 Na 0.000 0.000 0.000 1
```